1.
Below is a crystal of Si2RuPb relaxed with PBEsol, with properties calculated at the SCAN level.

Values from the calculation:
The value obtained for the formation energy without anion corrections is 0.739 eV per atom. Its space group is Cmmm, No. 65. The volume comes out at 67.0 Å³/cell.

Unit cell a=4.6806 b=4.6806 c=3.2557 alpha=90.00 beta=90.00 gamma=110.17
Last column: nearest neighbours and their distance in Å.
Fractional coordinates of all 4 atoms:
Si (0.0000, 0.5000, 0.0000)  2 Si 2.68, 4 Pb 2.85, 4 Ru 2.85
Si (0.5000, 0.0000, 0.0000)  2 Si 2.68, 4 Pb 2.85, 4 Ru 2.85
Ru (0.0000, 0.0000, 0.5000)  2 Pb 2.68, 8 Si 2.85
Pb (0.5000, 0.5000, 0.5000)  2 Ru 2.68, 8 Si 2.85



2.
Below is a crystal of ZrSb2S2 relaxed with PBEsol, with properties calculated at the SCAN level.

Values from the calculation:
The value obtained for the formation energy without anion corrections is 0.076 eV per atom. Its space group is P4/mbm, No. 127. The volume comes out at 223.6 Å³/cell.

Unit cell a=7.5541 b=7.5541 c=3.9178 alpha=90.00 beta=90.00 gamma=90.00
Last column: nearest neighbours and their distance in Å.
Fractional coordinates of all 10 atoms:
Zr (0.0000, 0.0000, 0.0000)  4 Sb 2.93
Zr (0.5000, 0.5000, 0.0000)  4 Sb 2.93
Sb (0.1383, 0.3617, 0.0000)  2 S 2.68, 2 Zr 2.93, 1 Sb 2.95
Sb (0.3617, 0.8617, 0.0000)  2 S 2.68, 2 Zr 2.93, 1 Sb 2.95
Sb (0.6383, 0.1383, 0.0000)  2 S 2.68, 2 Zr 2.93, 1 Sb 2.95
Sb (0.8617, 0.6383, 0.0000)  2 S 2.68, 2 Zr 2.93, 1 Sb 2.95
S (0.1902, 0.6902, 0.5000)  2 Sb 2.68
S (0.3098, 0.1902, 0.5000)  2 Sb 2.68
S (0.6902, 0.8098, 0.5000)  2 Sb 2.68
S (0.8098, 0.3098, 0.5000)  2 Sb 2.68



| no. | uncorrected energy (eV per atom) | spin magnetization (μB per atom) | ρ (g cm⁻³) |
| --- | --- | --- | --- |
| 1 | -31.92 | 0.000 | 9.04 |
| 2 | -24.82 | 0.000 | 5.93 |